(1)
VASP calculation (PBE) on a relaxed structure of MgAg2Ge.

The structure belongs to space group P4/mmm (No. 123); the cell edges are 3.482, 3.482 and 6.039 Å and the angles 90.00°, 90.00° and 90.00°. Symmetry generates all atoms from Mg at (0.000, 0.000, 0.000), Ag at (0.500, 0.500, 0.247) and Ge at (0.000, 0.000, 0.500).

The calculated density comes out at 7.1 g cm⁻³. For the total moment, the calculation gives 0.00 μB per cell. The formation energy comes out at -0.04 eV per atom. The value obtained for the density of states at the Fermi level is 1.46 states/eV/f.u.

(2)
VASP calculation (PBE) on a relaxed structure of HfBeHg2P.

The structure belongs to space group P4/mmm (No. 123); the cell edges are 5.312, 5.312 and 3.763 Å and the angles 90.00°, 90.00° and 90.00°. Symmetry generates all atoms from Hf at (0.000, 0.000, 0.000), Be at (0.500, 0.500, 0.000), Hg at (0.000, 0.500, 0.500) and P at (0.500, 0.500, 0.500).

The calculated density comes out at 9.7 g cm⁻³. For the total moment, the calculation gives 0.00 μB per cell. The formation energy comes out at 0.63 eV per atom. The value obtained for the density of states at the Fermi level is 2.76 states/eV/f.u.

(3)
VASP calculation (PBE) on a relaxed structure of Ce3U2PaAs6.

The structure belongs to space group C2/m (No. 12); the cell edges are 7.166, 12.410 and 7.258 Å and the angles 90.00°, 109.21° and 90.00°. Symmetry generates all atoms from Ce at (0.000, 0.000, 0.000), Ce at (0.000, 0.334, 0.000), U at (0.000, 0.167, 0.500), Pa at (0.000, 0.500, 0.500), As at (0.247, 0.000, 0.741) and As at (0.247, 0.334, 0.741).

The calculated density comes out at 8.6 g cm⁻³. For the total moment, the calculation gives 15.75 μB per cell. The formation energy comes out at -1.12 eV per atom. The value obtained for the density of states at the Fermi level is 31.56 states/eV/f.u.

(4)
VASP calculation (PBE) on a relaxed structure of SmZr2Cd.

The structure belongs to space group P4/mmm (No. 123); the cell edges are 4.593, 4.593 and 4.617 Å and the angles 90.00°, 90.00° and 90.00°. Symmetry generates all atoms from Sm at (0.000, 0.000, 0.000), Zr at (0.000, 0.500, 0.500) and Cd at (0.500, 0.500, 0.000).

The calculated density comes out at 7.6 g cm⁻³. For the total moment, the calculation gives 0.00 μB per cell. The formation energy comes out at 0.02 eV per atom. The value obtained for the density of states at the Fermi level is 4.14 states/eV/f.u. Its excess energy over the best structure of this formula in the dataset is 0 meV per atom.

(5)
VASP calculation (PBE) on a relaxed structure of NiPbAu2.

The structure belongs to space group R-3m (No. 166, hexagonal axes); the cell edges are 3.3504, 3.3504 and 24.9359 Å and the angles 90.00°, 90.00° and 120.00°. Symmetry generates all atoms from Ni at (0.0000, 0.0000, 0.0000), Pb at (0.0000, 0.0000, 0.5000) and Au at (0.0000, 0.0000, 0.2646).

The calculated density comes out at 13.6 g cm⁻³. For the total moment, the calculation gives 1.42 μB per cell. The formation energy comes out at 0.23 eV per atom. The value obtained for the density of states at the Fermi level is 3.09 states/eV/f.u.

(6)
VASP calculation (PBE) on a relaxed structure of BaMgZnAu3.

The structure belongs to space group Cmcm (No. 63); the cell edges are 7.217, 13.478 and 6.376 Å and the angles 90.00°, 90.00° and 90.00°. Symmetry generates all atoms from Ba at (0.000, 0.215, 0.250), Mg at (0.000, 0.497, 0.250), Zn at (0.000, 0.113, 0.750), Au at (0.000, 0.303, 0.750) and Au at (0.201, 0.000, 0.000).

The calculated density comes out at 8.8 g cm⁻³. For the total moment, the calculation gives 0.00 μB per cell. The formation energy comes out at -0.42 eV per atom. The value obtained for the density of states at the Fermi level is 2.96 states/eV/f.u.

Question: What is the formula in the fifth record?
Answer: NiPbAu2